1.
# HoPd2Rh

A relaxed HoPd2Rh crystal (PBE, the Alexandria database).

Total magnetization, μB per formula unit: 0.00
Crystal system: cubic
D(E_F), states/eV/f.u.: 1.875
SG: Fm-3m (225)
Uncorrected energy, Ha/atom: -0.225
DFT formation energy, meV per atom: -556

Structure (extended XYZ):
```
4
Lattice="0.0000 3.2717 3.2717 3.2717 0.0000 3.2717 3.2717 3.2717 0.0000" Properties=species:S:1:pos:R:3 pbc="T T T"
Ho 0.0000 0.0000 0.0000
Pd 1.6358 1.6358 1.6358
Pd 4.9075 4.9075 4.9075
Rh 3.2717 3.2717 3.2717
```

***

2.
# Sr3YTe4

A relaxed Sr3YTe4 crystal (PBE, the Alexandria database).

Total magnetization, μB per formula unit: 0.00
Crystal system: orthorhombic
D(E_F), states/eV/f.u.: 2.686
Raw formation energy, eV/f.u.: -12.87
SG: Cmmm (65)
Uncorrected energy, Ha/atom: -0.170

Structure (extended XYZ):
```
8
Lattice="4.6552 -6.5499 0.0000 4.6552 6.5499 0.0000 0.0000 0.0000 4.6085" Properties=species:S:1:pos:R:3 pbc="T T T"
Sr 0.0000 0.0000 0.0000
Sr 2.3276 3.2750 2.3043
Sr 2.3276 -3.2750 2.3043
Y 4.6552 0.0000 0.0000
Te 4.6552 3.1658 0.0000
Te 2.4643 0.0000 2.3043
Te 6.8462 0.0000 2.3043
Te 4.6552 -3.1658 0.0000
```

***

3.
# Tm4SiPb2

A relaxed Tm4SiPb2 crystal (PBE, the Alexandria database).

Total magnetization, μB per formula unit: 0.00
Crystal system: monoclinic
D(E_F), states/eV/f.u.: 5.524
Raw formation energy, eV/f.u.: -3.35
SG: C2/m (12)
Uncorrected energy, Ha/atom: -0.179

Structure (extended XYZ):
```
7
Lattice="5.7345 -2.2686 0.0000 5.7345 2.2686 0.0000 -4.5797 0.0000 7.2911" Properties=species:S:1:pos:R:3 pbc="T T T"
Tm -0.8099 0.0000 2.6510
Tm -0.4798 0.0000 6.8503
Tm 7.3691 0.0000 0.4408
Tm 7.6992 0.0000 4.6401
Si 0.0000 0.0000 0.0000
Pb 2.4516 0.0000 2.4162
Pb 4.4377 0.0000 4.8749
```

***

4.
# LiYU2As4

A relaxed LiYU2As4 crystal (PBE, the Alexandria database).

Total magnetization, μB per formula unit: 3.91
Crystal system: monoclinic
D(E_F), states/eV/f.u.: 12.378
SG: P2/m (10)
Uncorrected energy, Ha/atom: -0.259
DFT formation energy, meV per atom: -843

Structure (extended XYZ):
```
8
Lattice="7.0498 0.0000 0.0000 0.0000 4.0872 0.0000 -2.3495 0.0000 6.6602" Properties=species:S:1:pos:R:3 pbc="T T T"
Li 0.0000 0.0000 0.0000
Y 3.5249 2.0436 0.0000
U -1.1748 2.0436 3.3301
U 2.3502 0.0000 3.3301
As -0.0158 0.0000 4.9719
As 1.1736 2.0436 1.7305
As 3.5267 2.0436 4.9297
As 4.7161 0.0000 1.6883
```

***

5.
# NaDyI2

A relaxed NaDyI2 crystal (PBE, the Alexandria database).

Total magnetization, μB per formula unit: 0.00
Crystal system: trigonal
D(E_F), states/eV/f.u.: 2.568
Raw formation energy, eV/f.u.: -3.38
SG: R-3m (166)
Uncorrected energy, Ha/atom: -0.114

Structure (extended XYZ):
```
4
Lattice="2.0123 1.1618 11.1378 -2.0123 1.1618 11.1378 0.0000 -2.3236 11.1378" Properties=species:S:1:pos:R:3 pbc="T T T"
Na 0.0000 0.0000 0.0000
Dy 0.0000 0.0000 16.7067
I 0.0000 0.0000 3.5245
I 0.0000 0.0000 29.8890
```

***

6.
# CuTcNF2

A relaxed CuTcNF2 crystal (PBE, the Alexandria database).

Total magnetization, μB per formula unit: 0.07
Crystal system: tetragonal
D(E_F), states/eV/f.u.: 2.956
Raw formation energy, eV/f.u.: -1.74
SG: P4/mmm (123)
Uncorrected energy, Ha/atom: -0.208

Structure (extended XYZ):
```
5
Lattice="4.1583 0.0000 0.0000 0.0000 4.1583 0.0000 0.0000 0.0000 3.7863" Properties=species:S:1:pos:R:3 pbc="T T T"
Cu 0.0000 0.0000 0.0000
Tc 2.0791 2.0791 1.8932
N 2.0791 2.0791 0.0000
F 0.0000 2.0791 1.8932
F 2.0791 0.0000 1.8932
```

***

7.
# GeAu2CSe

A relaxed GeAu2CSe crystal (PBE, the Alexandria database).

Total magnetization, μB per formula unit: 0.33
Crystal system: tetragonal
D(E_F), states/eV/f.u.: 3.343
Raw formation energy, eV/f.u.: 6.26
SG: P4/mmm (123)
Uncorrected energy, Ha/atom: -0.130

Structure (extended XYZ):
```
5
Lattice="5.2056 0.0000 0.0000 0.0000 5.2056 0.0000 0.0000 0.0000 3.5942" Properties=species:S:1:pos:R:3 pbc="T T T"
Ge 0.0000 0.0000 0.0000
Au 0.0000 2.6028 0.0000
Au 2.6028 0.0000 0.0000
C 0.0000 0.0000 1.7971
Se 2.6028 2.6028 1.7971
```

***

8.
# Ba2Ti6N2O11

A relaxed Ba2Ti6N2O11 crystal (PBE, the Alexandria database).

Total magnetization, μB per formula unit: 0.00
Crystal system: monoclinic
D(E_F), states/eV/f.u.: 0.000
Raw formation energy, eV/f.u.: -58.68
SG: Cm (8)
Uncorrected energy, Ha/atom: -0.317

Structure (extended XYZ):
```
21
Lattice="7.6905 -1.9747 0.0000 7.6905 1.9747 0.0000 -1.3734 0.0000 9.1367" Properties=species:S:1:pos:R:3 pbc="T T T"
Ba 0.0000 0.0000 0.0000
Ba 0.8044 0.0000 4.9590
Ti 3.3066 0.0000 9.0175
Ti 5.4868 0.0000 2.9619
Ti 5.7288 0.0000 6.1777
Ti 9.2281 0.0000 7.9197
Ti 10.8940 0.0000 1.7638
Ti 11.4163 0.0000 4.8486
N 1.7292 0.0000 7.9344
N 12.1410 0.0000 0.0804
O 3.6457 0.0000 1.7842
O 4.0948 0.0000 4.7869
O 4.7892 0.0000 7.7847
O 6.3623 0.0000 1.4037
O 6.7446 0.0000 4.2836
O 7.4002 0.0000 6.9548
O 9.5043 0.0000 0.5822
O 10.0485 0.0000 3.4885
O 10.1459 0.0000 6.1268
O 12.6682 0.0000 3.0701
O 13.1773 0.0000 5.9324
```

***

9.
# CdInRe

A relaxed CdInRe crystal (PBE, the Alexandria database).

Total magnetization, μB per formula unit: 0.20
Crystal system: trigonal
D(E_F), states/eV/f.u.: 2.948
SG: P3m1 (156)
Uncorrected energy, Ha/atom: -0.174
DFT formation energy, meV per atom: 620

Structure (extended XYZ):
```
3
Lattice="2.9914 0.0000 0.0000 -1.4957 2.5906 0.0000 0.0000 0.0000 7.4138" Properties=species:S:1:pos:R:3 pbc="T T T"
Cd 0.0000 0.0000 0.0000
In 1.4957 0.8635 2.7348
Re 0.0000 1.7271 5.0579
```

***

10.
# LaV2In2

A relaxed LaV2In2 crystal (PBE, the Alexandria database).

Total magnetization, μB per formula unit: 0.74
Crystal system: tetragonal
D(E_F), states/eV/f.u.: 6.789
SG: I4/mmm (139)
Uncorrected energy, Ha/atom: -0.205
DFT formation energy, meV per atom: 158

Structure (extended XYZ):
```
5
Lattice="-2.0424 2.0424 6.7757 2.0424 -2.0424 6.7757 2.0424 2.0424 -6.7757" Properties=species:S:1:pos:R:3 pbc="T T T"
La 0.0000 0.0000 0.0000
V 2.0424 0.0000 3.3878
V 0.0000 2.0424 3.3878
In 0.0000 0.0000 5.2574
In 0.0000 0.0000 8.2939
```

***

11.
# YCd2Os

A relaxed YCd2Os crystal (PBE, the Alexandria database).

Total magnetization, μB per formula unit: 0.00
Crystal system: trigonal
D(E_F), states/eV/f.u.: 3.775
SG: R-3m (166)
Uncorrected energy, Ha/atom: -0.162
DFT formation energy, meV per atom: 463

Structure (extended XYZ):
```
4
Lattice="1.5126 0.8733 10.2550 -1.5126 0.8733 10.2550 0.0000 -1.7466 10.2550" Properties=species:S:1:pos:R:3 pbc="T T T"
Y 0.0000 0.0000 0.0000
Cd 0.0000 0.0000 7.4301
Cd 0.0000 0.0000 23.3348
Os 0.0000 0.0000 15.3824
```

***

12.
# ErTm2ScTe4

A relaxed ErTm2ScTe4 crystal (PBE, the Alexandria database).

Total magnetization, μB per formula unit: 0.00
Crystal system: monoclinic
D(E_F), states/eV/f.u.: 5.140
Raw formation energy, eV/f.u.: -9.27
SG: P2/m (10)
Uncorrected energy, Ha/atom: -0.191

Structure (extended XYZ):
```
8
Lattice="7.4235 0.0000 0.0000 0.0000 4.2325 0.0000 -2.4121 0.0000 7.0401" Properties=species:S:1:pos:R:3 pbc="T T T"
Er 0.0000 0.0000 0.0000
Tm 2.5057 0.0000 3.5201
Tm 3.7117 2.1163 0.0000
Sc -1.2061 2.1163 3.5201
Te 0.0217 0.0000 5.2332
Te 1.2275 2.1163 1.7898
Te 3.7838 2.1163 5.2503
Te 4.9897 0.0000 1.8069
```

***

13.
# PuAlTe2

A relaxed PuAlTe2 crystal (PBE, the Alexandria database).

Total magnetization, μB per formula unit: 5.58
Crystal system: trigonal
D(E_F), states/eV/f.u.: 13.965
Raw formation energy, eV/f.u.: -2.03
SG: P3_221 (154)
Uncorrected energy, Ha/atom: -0.242

Structure (extended XYZ):
```
12
Lattice="4.1940 0.0000 0.0000 -2.0970 3.6321 0.0000 0.0000 0.0000 23.1434" Properties=species:S:1:pos:R:3 pbc="T T T"
Pu -0.6978 1.2086 7.7145
Pu 1.3956 0.0000 15.4289
Pu 1.3992 2.4235 0.0000
Al -0.7010 1.2141 19.2861
Al 1.4019 0.0000 3.8572
Al 1.3960 2.4180 11.5717
Te -0.6967 1.2117 2.0207
Te -0.6993 3.6296 9.7351
Te 1.3977 0.0025 21.1227
Te 1.3960 2.4229 17.4496
Te 1.4003 2.4204 5.6938
Te 3.4930 1.2092 13.4083
```

***

14.
# YMgCuRu

A relaxed YMgCuRu crystal (PBE, the Alexandria database).

Total magnetization, μB per formula unit: 0.00
Crystal system: cubic
D(E_F), states/eV/f.u.: 1.376
SG: F-43m (216)
Uncorrected energy, Ha/atom: -0.202
DFT formation energy, meV per atom: -128

Structure (extended XYZ):
```
4
Lattice="0.0000 3.3100 3.3100 3.3100 0.0000 3.3100 3.3100 3.3100 0.0000" Properties=species:S:1:pos:R:3 pbc="T T T"
Y 0.0000 0.0000 0.0000
Mg 3.3100 3.3100 3.3100
Cu 1.6550 1.6550 1.6550
Ru 4.9651 4.9651 4.9651
```

***

15.
# CsBaTa

A relaxed CsBaTa crystal (PBE, the Alexandria database).

Total magnetization, μB per formula unit: 3.26
Crystal system: hexagonal
D(E_F), states/eV/f.u.: 2.402
SG: P-6m2 (187)
Uncorrected energy, Ha/atom: -0.121
DFT formation energy, meV per atom: 1597

Structure (extended XYZ):
```
3
Lattice="6.2988 0.0000 0.0000 -3.1494 5.4549 0.0000 0.0000 0.0000 3.4701" Properties=species:S:1:pos:R:3 pbc="T T T"
Cs 0.0000 0.0000 0.0000
Ba 0.0000 3.6366 1.7350
Ta 3.1494 1.8183 1.7350
```

***

16.
# BaSrLiMg

A relaxed BaSrLiMg crystal (PBE, the Alexandria database).

Total magnetization, μB per formula unit: 0.00
Crystal system: cubic
D(E_F), states/eV/f.u.: 4.266
SG: F-43m (216)
Uncorrected energy, Ha/atom: -0.066
DFT formation energy, meV per atom: -18

Structure (extended XYZ):
```
4
Lattice="0.0000 4.2969 4.2969 4.2969 0.0000 4.2969 4.2969 4.2969 0.0000" Properties=species:S:1:pos:R:3 pbc="T T T"
Ba 0.0000 0.0000 0.0000
Sr 4.2969 4.2969 4.2969
Li 6.4453 6.4453 6.4453
Mg 2.1484 2.1484 2.1484
```

***

17.
# BaAgCl3

A relaxed BaAgCl3 crystal (PBE, the Alexandria database).

Total magnetization, μB per formula unit: 0.00
Crystal system: cubic
D(E_F), states/eV/f.u.: 0.000
Raw formation energy, eV/f.u.: -5.97
SG: Pm-3m (221)
Uncorrected energy, Ha/atom: -0.120

Structure (extended XYZ):
```
5
Lattice="5.9689 0.0000 0.0000 0.0000 5.9689 0.0000 0.0000 0.0000 5.9689" Properties=species:S:1:pos:R:3 pbc="T T T"
Ba 0.0000 0.0000 0.0000
Ag 2.9844 2.9844 2.9844
Cl 0.0000 0.0000 2.9844
Cl 0.0000 2.9844 0.0000
Cl 2.9844 0.0000 0.0000
```

***

18.
# Mn3MoN

A relaxed Mn3MoN crystal (PBE, the Alexandria database).

Total magnetization, μB per formula unit: 0.00
Crystal system: cubic
D(E_F), states/eV/f.u.: 4.934
Raw formation energy, eV/f.u.: -0.62
SG: Pm-3m (221)
Uncorrected energy, Ha/atom: -0.348

Structure (extended XYZ):
```
5
Lattice="3.7765 0.0000 0.0000 0.0000 3.7765 0.0000 0.0000 0.0000 3.7765" Properties=species:S:1:pos:R:3 pbc="T T T"
Mn 0.0000 0.0000 1.8882
Mn 0.0000 1.8882 0.0000
Mn 1.8882 0.0000 0.0000
Mo 1.8882 1.8882 1.8882
N 0.0000 0.0000 0.0000
```

***

19.
# CdNiSn2

A relaxed CdNiSn2 crystal (PBE, the Alexandria database).

Total magnetization, μB per formula unit: 0.00
Crystal system: trigonal
D(E_F), states/eV/f.u.: 1.218
SG: R-3m (166)
Uncorrected energy, Ha/atom: -0.135
DFT formation energy, meV per atom: -5

Structure (extended XYZ):
```
4
Lattice="1.7142 0.9897 9.1265 -1.7142 0.9897 9.1265 0.0000 -1.9794 9.1265" Properties=species:S:1:pos:R:3 pbc="T T T"
Cd 0.0000 0.0000 0.0000
Ni 0.0000 0.0000 13.6898
Sn 0.0000 0.0000 2.8723
Sn 0.0000 0.0000 24.5072
```

***

20.
# Sr2InBi3Pt4

A relaxed Sr2InBi3Pt4 crystal (PBE, the Alexandria database).

Total magnetization, μB per formula unit: 0.00
Crystal system: tetragonal
D(E_F), states/eV/f.u.: 5.324
SG: P-4m2 (115)
Uncorrected energy, Ha/atom: -0.176
DFT formation energy, meV per atom: -587

Structure (extended XYZ):
```
10
Lattice="4.8431 0.0000 0.0000 0.0000 4.8431 0.0000 0.0000 0.0000 10.9590" Properties=species:S:1:pos:R:3 pbc="T T T"
Sr 0.0000 2.4215 2.5920
Sr 2.4215 0.0000 8.3670
In 0.0000 0.0000 5.4795
Bi 0.0000 2.4215 9.5760
Bi 2.4215 0.0000 1.3829
Bi 2.4215 2.4215 5.4795
Pt 0.0000 0.0000 0.0000
Pt 0.0000 2.4215 6.8389
Pt 2.4215 0.0000 4.1201
Pt 2.4215 2.4215 0.0000
```

***

21.
# CsRbPaSe3

A relaxed CsRbPaSe3 crystal (PBE, the Alexandria database).

Total magnetization, μB per formula unit: 1.00
Crystal system: monoclinic
D(E_F), states/eV/f.u.: 5.273
Raw formation energy, eV/f.u.: -7.77
SG: C2/c (15)
Uncorrected energy, Ha/atom: -0.181

Structure (extended XYZ):
```
12
Lattice="4.1217 -8.2806 0.0000 4.1217 8.2806 0.0000 -1.6251 0.0000 7.4789" Properties=species:S:1:pos:R:3 pbc="T T T"
Cs 2.9028 4.2455 5.6092
Cs 3.7154 -4.2455 1.8697
Rb 3.7154 1.4043 1.8697
Rb 2.9028 -1.4043 5.6092
Pa 3.7154 7.4315 1.8697
Pa 2.9028 -7.4315 5.6092
Se 0.9557 0.7259 3.7647
Se 3.7154 4.7378 1.8697
Se 1.7682 -0.7259 0.0252
Se 4.8500 0.7259 7.4537
Se 2.9028 -4.7378 5.6092
Se 5.6626 -0.7259 3.7142
```

***

22.
# U2Co3Si4Os

A relaxed U2Co3Si4Os crystal (PBE, the Alexandria database).

Total magnetization, μB per formula unit: 0.00
Crystal system: tetragonal
D(E_F), states/eV/f.u.: 5.444
Raw formation energy, eV/f.u.: -5.90
SG: P-4m2 (115)
Uncorrected energy, Ha/atom: -0.304

Structure (extended XYZ):
```
10
Lattice="3.9602 0.0000 0.0000 0.0000 3.9602 0.0000 0.0000 0.0000 9.4185" Properties=species:S:1:pos:R:3 pbc="T T T"
U 0.0000 1.9801 2.3321
U 1.9801 0.0000 7.0865
Co 0.0000 1.9801 8.2393
Co 1.9801 0.0000 1.1793
Co 1.9801 1.9801 4.7093
Si 0.0000 0.0000 0.0000
Si 0.0000 1.9801 6.0109
Si 1.9801 0.0000 3.4077
Si 1.9801 1.9801 0.0000
Os 0.0000 0.0000 4.7093
```

***

23.
# TbPmEr2Sc

A relaxed TbPmEr2Sc crystal (PBE, the Alexandria database).

Total magnetization, μB per formula unit: 0.00
Crystal system: orthorhombic
D(E_F), states/eV/f.u.: 8.517
SG: Cmcm (63)
Uncorrected energy, Ha/atom: -0.169
DFT formation energy, meV per atom: 361

Structure (extended XYZ):
```
10
Lattice="3.1632 -7.9594 0.0000 3.1632 7.9594 0.0000 0.0000 0.0000 6.3244" Properties=species:S:1:pos:R:3 pbc="T T T"
Tb 3.1632 3.9760 4.7433
Tb 3.1632 -3.9760 1.5811
Pm 3.1632 5.3889 1.5811
Pm 3.1632 -5.3889 4.7433
Er 1.5909 0.0000 0.0000
Er 1.5909 0.0000 3.1622
Er 4.7356 0.0000 0.0000
Er 4.7356 0.0000 3.1622
Sc 3.1632 2.4398 1.5811
Sc 3.1632 -2.4398 4.7433
```

***

24.
# K2Te2Au

A relaxed K2Te2Au crystal (PBE, the Alexandria database).

Total magnetization, μB per formula unit: 0.00
Crystal system: monoclinic
D(E_F), states/eV/f.u.: 1.182
Raw formation energy, eV/f.u.: -3.17
SG: C2/m (12)
Uncorrected energy, Ha/atom: -0.110

Structure (extended XYZ):
```
10
Lattice="8.4445 -3.3359 0.0000 8.4445 3.3359 0.0000 -6.1054 0.0000 8.4130" Properties=species:S:1:pos:R:3 pbc="T T T"
K -0.8336 0.0000 2.4755
K -0.7224 0.0000 7.7886
K 11.5061 0.0000 0.6245
K 11.6172 0.0000 5.9376
Te 2.1481 0.0000 0.7953
Te 4.2204 0.0000 5.4367
Te 6.5632 0.0000 2.9763
Te 8.6356 0.0000 7.6177
Au 3.8474 0.0000 2.8026
Au 6.9362 0.0000 5.6104
```

***

25.
# Te2PdRhW

A relaxed Te2PdRhW crystal (PBE, the Alexandria database).

Total magnetization, μB per formula unit: 2.86
Crystal system: tetragonal
D(E_F), states/eV/f.u.: 4.216
Raw formation energy, eV/f.u.: 6.52
SG: P4/mmm (123)
Uncorrected energy, Ha/atom: -0.186

Structure (extended XYZ):
```
5
Lattice="5.0425 0.0000 0.0000 0.0000 5.0425 0.0000 0.0000 0.0000 4.8698" Properties=species:S:1:pos:R:3 pbc="T T T"
Te 0.0000 2.5212 0.0000
Te 2.5212 0.0000 0.0000
Pd 0.0000 0.0000 2.4349
Rh 0.0000 0.0000 0.0000
W 2.5212 2.5212 2.4349
```

***

26.
# Cs2RbSe

A relaxed Cs2RbSe crystal (PBE, the Alexandria database).

Total magnetization, μB per formula unit: 0.00
Crystal system: trigonal
D(E_F), states/eV/f.u.: 5.620
Raw formation energy, eV/f.u.: -2.69
SG: R-3m (166)
Uncorrected energy, Ha/atom: -0.081

Structure (extended XYZ):
```
4
Lattice="2.6750 1.5444 13.3613 -2.6750 1.5444 13.3613 0.0000 -3.0888 13.3613" Properties=species:S:1:pos:R:3 pbc="T T T"
Cs 0.0000 0.0000 5.0481
Cs 0.0000 0.0000 35.0359
Rb 0.0000 0.0000 0.0000
Se 0.0000 0.0000 20.0420
```